[1]
16
Lattice="6.679 0.000 0.000 0.000 6.679 0.000 0.000 0.000 5.478" Properties=species:S:1:pos:R:3 comment="ZnPRh2 PBE-GGA optimized geometry" ef_mev_per_atom=-298 n_ef_per_ev_cell=8.90 e_tot_ev_per_atom=-5.6451 e_above_lowest_polymorph_ev_per_atom=0.1484 pbc="T T T"
Zn 0.000 0.000 0.000
Zn 0.000 3.340 1.369
Zn 3.340 0.000 4.108
Zn 3.340 3.340 2.739
P 0.000 0.000 2.739
P 0.000 3.340 4.108
P 3.340 0.000 1.369
P 3.340 3.340 0.000
Rh 1.255 1.670 3.424
Rh 1.670 4.595 4.793
Rh 1.670 5.424 2.054
Rh 2.085 1.670 0.685
Rh 4.595 5.010 0.685
Rh 5.010 1.255 2.054
Rh 5.010 2.085 4.793
Rh 5.424 5.010 3.424

***

[2]
12
Lattice="3.661 0.000 0.000 -1.830 3.170 0.000 0.000 0.000 15.678" Properties=species:S:1:pos:R:3 comment="ZnPRh2 PBE-GGA optimized geometry" ef_mev_per_atom=-432 n_ef_per_ev_cell=5.87 e_tot_ev_per_atom=-5.7789 e_above_lowest_polymorph_ev_per_atom=0.0146 pbc="T T T"
Zn 0.000 0.000 0.000
Zn 0.000 2.114 10.452
Zn 1.830 1.057 5.226
P 0.000 0.000 2.657
P 0.000 2.114 13.109
P 1.830 1.057 7.883
Rh 0.000 0.000 8.847
Rh 0.000 0.000 12.082
Rh 0.000 2.114 3.621
Rh 0.000 2.114 6.856
Rh 1.830 1.057 1.630
Rh 1.830 1.057 14.073

***

[3]
12
Lattice="5.710 0.000 0.000 0.000 3.032 0.000 0.000 0.000 10.231" Properties=species:S:1:pos:R:3 comment="ZnPRh PBE-GGA optimized geometry" ef_mev_per_atom=-348 n_ef_per_ev_cell=2.32 e_tot_ev_per_atom=-5.0268 pbc="T T T"
Zn 1.084 0.758 0.380
Zn 1.771 2.274 5.495
Zn 3.939 0.758 4.735
Zn 4.627 2.274 9.851
P 0.086 0.758 6.746
P 2.769 2.274 1.631
P 2.941 0.758 8.600
P 5.624 2.274 3.484
Rh 1.069 2.274 8.298
Rh 1.786 0.758 3.183
Rh 3.924 2.274 7.047
Rh 4.641 0.758 1.932

***

[4]
5
Lattice="4.707 0.000 0.000 0.000 4.707 0.000 0.000 0.000 4.707" Properties=species:S:1:pos:R:3 comment="Zn3PRh PBE-GGA optimized geometry" ef_mev_per_atom=602 n_ef_per_ev_cell=3.43 e_tot_ev_per_atom=-2.7150 e_above_lowest_polymorph_ev_per_atom=0.0000 pbc="T T T"
Zn 0.000 0.000 2.354
Zn 0.000 2.354 0.000
Zn 2.354 0.000 0.000
P 2.354 2.354 2.354
Rh 0.000 0.000 0.000

***

[5]
12
Lattice="5.171 0.000 0.000 0.000 6.206 0.000 -1.780 0.000 5.723" Properties=species:S:1:pos:R:3 comment="ZnPRh PBE-GGA optimized geometry" ef_mev_per_atom=-312 n_ef_per_ev_cell=6.63 e_tot_ev_per_atom=-4.9899 pbc="T T T"
Zn 0.120 1.150 2.069
Zn -0.770 1.953 4.930
Zn 4.161 4.253 0.793
Zn 3.271 5.056 3.655
P 1.522 3.545 1.084
P 0.632 5.764 3.946
P 2.758 0.442 1.777
P 1.868 2.661 4.639
Rh 0.389 3.596 3.084
Rh 1.279 5.713 0.223
Rh 2.112 0.493 5.501
Rh 3.002 2.610 2.639

***

[6]
4
Lattice="2.959 0.000 0.000 0.000 3.533 0.000 -1.426 0.000 5.464" Properties=species:S:1:pos:R:3 comment="ZnPRh2 PBE-GGA optimized geometry" ef_mev_per_atom=-359 n_ef_per_ev_cell=2.36 e_tot_ev_per_atom=-5.7060 e_above_lowest_polymorph_ev_per_atom=0.0875 pbc="T T T"
Zn 0.000 0.000 0.000
P -0.713 0.000 2.732
Rh -0.028 1.767 3.989
Rh 1.561 1.767 1.475

***

[7]
12
Lattice="5.555 0.000 0.000 0.000 4.025 0.000 0.000 0.000 8.504" Properties=species:S:1:pos:R:3 comment="ZnPRh PBE-GGA optimized geometry" ef_mev_per_atom=-249 n_ef_per_ev_cell=3.79 e_tot_ev_per_atom=-4.9270 pbc="T T T"
Zn 0.930 1.006 1.076
Zn 1.848 3.019 5.328
Zn 3.707 1.006 3.176
Zn 4.626 3.019 7.428
P 1.364 1.006 3.440
P 1.414 3.019 7.692
P 4.141 1.006 0.812
P 4.192 3.019 5.064
Rh 0.186 3.019 3.291
Rh 2.591 1.006 7.543
Rh 2.964 3.019 0.961
Rh 5.369 1.006 5.213

***

[8]
8
Lattice="4.379 0.000 0.000 0.000 2.916 0.000 0.000 0.000 8.958" Properties=species:S:1:pos:R:3 comment="ZnPRh2 PBE-GGA optimized geometry" ef_mev_per_atom=-350 n_ef_per_ev_cell=4.53 e_tot_ev_per_atom=-5.6971 e_above_lowest_polymorph_ev_per_atom=0.0964 pbc="T T T"
Zn 0.000 0.000 0.000
Zn 0.000 1.458 4.479
P 2.189 0.000 5.918
P 2.189 1.458 1.439
Rh 0.000 0.000 6.553
Rh 0.000 1.458 2.075
Rh 2.189 0.000 3.442
Rh 2.189 1.458 7.921

***

[9]
28
Lattice="17.732 0.000 0.000 0.000 3.802 0.000 0.000 0.000 5.762" Properties=species:S:1:pos:R:3 comment="ZnP2Rh4 PBE-GGA optimized geometry" ef_mev_per_atom=-593 n_ef_per_ev_cell=13.59 e_tot_ev_per_atom=-6.5213 pbc="T T T"
Zn 2.227 0.951 0.080
Zn 6.639 2.852 2.961
Zn 11.093 0.951 2.802
Zn 15.505 2.852 5.683
P 0.727 2.852 4.254
P 3.722 0.951 2.708
P 5.144 2.852 5.589
P 8.139 0.951 1.373
P 9.593 2.852 4.390
P 12.588 0.951 0.174
P 14.010 2.852 3.055
P 17.005 0.951 1.508
Rh 0.581 2.852 0.849
Rh 1.379 0.951 2.868
Rh 3.150 2.852 4.186
Rh 3.500 2.852 1.376
Rh 5.366 0.951 4.258
Rh 5.716 0.951 1.305
Rh 7.487 2.852 5.750
Rh 8.285 0.951 3.731
Rh 9.447 2.852 2.032
Rh 10.245 0.951 0.013
Rh 12.016 2.852 4.458
Rh 12.366 2.852 1.505
Rh 14.232 0.951 4.386
Rh 14.582 0.951 1.577
Rh 16.353 2.852 2.894
Rh 17.151 0.951 4.913

***

[10]
3
Lattice="3.055 0.000 0.000 -1.528 2.646 0.000 0.000 0.000 5.683" Properties=species:S:1:pos:R:3 comment="ZnPRh PBE-GGA optimized geometry" ef_mev_per_atom=-300 n_ef_per_ev_cell=0.80 e_tot_ev_per_atom=-4.9786 pbc="T T T"
Zn 0.000 0.000 0.000
P 0.000 1.764 2.158
Rh 1.528 0.882 3.652

***

[11]
4
Lattice="4.128 0.000 0.000 0.000 2.971 0.000 -1.966 0.000 4.550" Properties=species:S:1:pos:R:3 comment="ZnPRh2 PBE-GGA optimized geometry" ef_mev_per_atom=-308 n_ef_per_ev_cell=2.67 e_tot_ev_per_atom=-5.6548 e_above_lowest_polymorph_ev_per_atom=0.1387 pbc="T T T"
Zn 0.000 0.000 0.000
P 1.081 1.486 2.275
Rh -0.983 0.000 2.275
Rh 2.064 1.486 0.000

***

[12]
6
Lattice="0.000 3.642 3.642 3.642 0.000 3.642 3.642 3.642 0.000" Properties=species:S:1:pos:R:3 comment="ZrPRh4 PBE-GGA optimized geometry" ef_mev_per_atom=-102 n_ef_per_ev_cell=7.62 e_tot_ev_per_atom=-7.3295 pbc="T T T"
Zr 0.000 0.000 0.000
P 1.821 1.821 1.821
Rh 4.550 2.734 2.734
Rh 2.734 4.550 2.734
Rh 2.734 2.734 4.550
Rh 4.550 4.550 4.550